Entry 1:
ZrH2Cl3 | Alexandria via LeMat-Bulk | PBE | relaxed; total moment = 0.0 μB/f.u.; symmetry = P6_3/mmc, No. 194; electronic total energy = -0.1705 Ha/atom
1.0
7.574 0.000 0.000
-3.787 6.559 0.000
0.000 0.000 6.058
Cl H Zr
6 4 2
Cartesian
-1.997 5.526 1.514
5.784 1.034 4.543
1.790 1.033 4.543
1.997 5.526 1.514
3.787 4.493 4.543
0.000 2.067 1.514
0.000 4.373 4.168
0.000 4.373 4.919
3.787 2.187 1.139
3.787 2.187 1.890
0.000 0.000 0.000
0.000 0.000 3.029

=====

Entry 2:
ZrHCl3 | Alexandria via LeMat-Bulk | PBE | relaxed; total moment = 0.0 μB/f.u.; density of states at the Fermi level = 0.0 states/eV/f.u.; symmetry = Ima2, No. 46; electronic total energy = -0.1778 Ha/atom
1.0
8.005 -0.757 3.256
-4.589 6.603 -3.256
-1.000 -3.336 7.945
Cl H Zr
6 2 2
Cartesian
-0.632 2.924 3.821
-0.771 -0.916 6.330
-2.731 4.151 0.868
5.455 0.117 3.014
1.997 1.388 1.615
-3.576 1.474 4.931
-0.830 4.919 -1.009
3.693 -1.645 8.954
2.773 -3.426 9.099
-1.930 3.244 -1.154

=====

Entry 3:
ZrH3Cl | Alexandria via LeMat-Bulk | PBE | relaxed; total moment = 0.6 μB/f.u.; density of states at the Fermi level = 4.8 states/eV/f.u.; symmetry = Pm-3m, No. 221; electronic total energy = -0.1111 Ha/atom
1.0
3.731 0.000 0.000
0.000 3.731 0.000
0.000 0.000 3.731
Zr Cl H
1 1 3
Cartesian
1.866 1.866 1.866
0.000 0.000 0.000
0.000 1.866 0.000
1.866 0.000 0.000
0.000 0.000 1.866

=====

- Number 2 is which compound?
  ZrHCl3

=====

- Which of these has the highest electronic total energy?
  ZrH3Cl